Density functional theory data (PBE with a Hubbard U) for an optimized crystal structure of LaV2ClF.

Output
Raw total energy   -4.450 eV per atom

a b c (Å): 4.4029 4.4029 5.8945
angles (deg): 90.00 90.00 90.00
Last column: nearest neighbours and their distance in Å.
Sites, in units of the cell vectors:
Cl (0.0000, 0.0000, 0.0000)  4 V 2.20
F (0.5000, 0.5000, 0.5000)  4 La 3.11
V (0.0000, 0.5000, 0.0000)  2 Cl 2.20
V (0.5000, 0.0000, 0.0000)  2 Cl 2.20
La (0.0000, 0.0000, 0.5000)  2 Cl 2.95, 4 F 3.11